[1]
{
  "formula": "La2ZnSi",
  "functional": "GGA-PBE",
  "state": "optimized geometry",
  "crystal_system": "orthorhombic",
  "spacegroup": "No. 44",
  "raw_formation_energy_ev_per_atom": -0.48,
  "dos_at_fermi_per_ev_atom": 0.554,
  "cell": [[-1.346, 5.818, 1.312], [-4.479, 4.131, -0.510], [-2.541, 0.440, 3.962]],
  "species": ["Zn", "Si", "La", "La"],
  "fractional_positions": [[0.800, 0.800, 0.700], [0.451, 0.451, 0.549], [0.015, 0.015, 0.985], [0.234, 0.234, 0.267]]
}

[2]
{
  "formula": "LaZn3Si",
  "functional": "GGA-PBE",
  "state": "optimized geometry",
  "crystal_system": "monoclinic",
  "spacegroup": "No. 8",
  "polymorph_energy_ev_per_atom": 0.000,
  "raw_formation_energy_ev_per_atom": -0.45,
  "dos_at_fermi_per_ev_atom": 0.303,
  "cell": [[-1.856, 3.171, 2.075], [2.070, -1.086, 3.513], [4.135, 4.300, 1.439]],
  "species": ["Zn", "Zn", "Zn", "La", "Si"],
  "fractional_positions": [[0.151, 0.456, 0.402], [0.652, 0.954, 0.402], [0.785, 0.588, 0.135], [0.406, 0.210, 0.892], [0.014, 0.817, 0.678]]
}

[3]
{
  "formula": "LaZn3Si",
  "functional": "GGA-PBE",
  "state": "optimized geometry",
  "crystal_system": "cubic",
  "spacegroup": "No. 221",
  "polymorph_energy_ev_per_atom": 0.511,
  "raw_formation_energy_ev_per_atom": 0.06,
  "dos_at_fermi_per_ev_atom": 0.557,
  "cell": [[-0.208, -1.749, 4.437], [3.661, -2.904, -0.973], [3.056, 3.361, 1.468]],
  "species": ["Si", "La", "Zn", "Zn", "Zn"],
  "fractional_positions": [[0.000, 0.000, 0.000], [0.500, 0.500, 0.500], [0.500, 0.000, 0.000], [0.000, 0.000, 0.500], [0.000, 0.500, 0.000]]
}

[4]
{
  "formula": "La6Zn5Si",
  "functional": "GGA-PBE",
  "state": "optimized geometry",
  "crystal_system": "monoclinic",
  "spacegroup": "No. 10",
  "raw_formation_energy_ev_per_atom": -0.37,
  "dos_at_fermi_per_ev_atom": 0.985,
  "cell": [[5.013, -0.030, 1.667], [0.040, 7.506, 0.013], [-0.018, -0.015, 8.394]],
  "species": ["La", "La", "La", "La", "La", "La", "Zn", "Zn", "Zn", "Zn", "Zn", "Si"],
  "fractional_positions": [[0.500, 0.237, 0.000], [0.162, 0.754, 0.676], [0.838, 0.754, 0.324], [0.838, 0.246, 0.324], [0.162, 0.246, 0.676], [0.500, 0.763, 0.000], [0.323, 0.000, 0.353], [0.669, 0.500, 0.664], [0.677, 0.000, 0.647], [0.000, 0.500, 0.000], [0.331, 0.500, 0.336], [0.000, 0.000, 0.000]]
}

[5]
{
  "formula": "LaZnSi2",
  "functional": "GGA-PBE",
  "state": "optimized geometry",
  "crystal_system": "monoclinic",
  "spacegroup": "No. 6",
  "raw_formation_energy_ev_per_atom": -0.28,
  "dos_at_fermi_per_ev_atom": 0.541,
  "cell": [[-0.596, 3.737, 1.249], [0.622, -1.477, 4.714], [4.381, 0.618, 0.244]],
  "species": ["Si", "Si", "Zn", "La"],
  "fractional_positions": [[0.000, 0.186, 0.945], [0.500, 0.150, 0.284], [0.000, 0.447, 0.419], [0.500, 0.717, 0.852]]
}

[6]
{
  "formula": "La2ZnSi",
  "functional": "GGA-PBE",
  "state": "optimized geometry",
  "crystal_system": "monoclinic",
  "spacegroup": "No. 12",
  "raw_formation_energy_ev_per_atom": -0.31,
  "dos_at_fermi_per_ev_atom": 1.367,
  "cell": [[4.600, -0.086, 0.090], [2.385, 3.934, 0.090], [2.176, 1.199, 6.759]],
  "species": ["La", "La", "Si", "Zn"],
  "fractional_positions": [[0.991, 0.991, 0.027], [0.509, 0.509, 0.473], [0.250, 0.250, 0.250], [0.750, 0.750, 0.750]]
}

[7]
{
  "formula": "LaZnSi4",
  "functional": "GGA-PBE",
  "state": "optimized geometry",
  "crystal_system": "cubic",
  "spacegroup": "No. 216",
  "raw_formation_energy_ev_per_atom": -0.09,
  "dos_at_fermi_per_ev_atom": 0.414,
  "cell": [[0.000, 3.781, 3.781], [3.781, 0.000, 3.781], [3.781, 3.781, 0.000]],
  "species": ["Si", "Si", "Si", "Si", "Zn", "La"],
  "fractional_positions": [[0.378, 0.378, 0.378], [0.866, 0.378, 0.378], [0.378, 0.378, 0.866], [0.378, 0.866, 0.378], [0.750, 0.750, 0.750], [0.000, 0.000, 0.000]]
}

[8]
{
  "formula": "LaZnSi2",
  "functional": "GGA-PBE",
  "state": "optimized geometry",
  "crystal_system": "tetragonal",
  "spacegroup": "No. 123",
  "raw_formation_energy_ev_per_atom": -0.18,
  "dos_at_fermi_per_ev_atom": 0.717,
  "cell": [[-1.739, -2.980, 0.581], [1.520, -0.275, 3.140], [-4.908, 3.385, 2.672]],
  "species": ["La", "Si", "Si", "Zn"],
  "fractional_positions": [[0.500, 0.500, 0.750], [0.000, 0.000, 0.432], [0.000, 0.000, 0.068], [0.500, 0.500, 0.250]]
}